KHfRh2N: optimized geometry, PBEsol.

Values from the calculation:
- Formation energy (no corrections): 627 meV per atom

a = 4.050 Å, b = 4.050 Å, c = 4.717 Å
α = 90.00°, β = 90.00°, γ = 90.00°
Site moments in Bohr magnetons follow the coordinates.
Atoms (fractional coordinates):
Hf (0.500, 0.500, 0.500)  0.04
N (0.000, 0.000, 0.000)  0.08
K (0.000, 0.000, 0.500)  0.01
Rh (0.000, 0.500, 0.000)  0.15
Rh (0.500, 0.000, 0.000)  0.15

***

As2IrPt: optimized geometry, PBEsol.

Values from the calculation:
- ΔH_f (0 K): 106 meV/atom
- Offset from the most stable computed form: 130 meV per atom

a = 3.030 Å, b = 3.030 Å, c = 6.788 Å
α = 90.00°, β = 90.00°, γ = 90.00°
Atoms (fractional coordinates):
As (0.000, 0.000, 0.242)
As (0.000, 0.000, 0.758)
Pt (0.500, 0.500, 0.500)
Ir (0.500, 0.500, 0.000)

***

Te2Rh: optimized geometry, PBEsol.

Values from the calculation:
- Formation energy (no corrections): -341 meV per atom

a = 4.005 Å, b = 5.391 Å, c = 6.897 Å
α = 90.00°, β = 106.88°, γ = 90.00°
Atoms (fractional coordinates):
Rh (0.833, 0.750, 0.665)
Te (0.542, 0.250, 0.085)
Te (0.458, 0.750, 0.915)
Rh (0.167, 0.250, 0.335)
Te (0.201, 0.750, 0.401)
Te (0.799, 0.250, 0.599)

***

ReAsSe2: optimized geometry, PBEsol.

Values from the calculation:
- Formation energy (no corrections): 504 meV per atom

a = 2.859 Å, b = 2.859 Å, c = 9.871 Å
α = 90.00°, β = 90.00°, γ = 116.81°
Atoms (fractional coordinates):
As (0.500, 0.500, 0.500)
Se (0.000, 0.000, 0.211)
Re (0.500, 0.500, 0.000)
Se (0.000, 0.000, 0.789)

***

Li2LaCu: optimized geometry, PBEsol.

Values from the calculation:
- ΔH_f (0 K): 120 meV/atom
- Offset from the most stable computed form: 83 meV per atom

a = 4.030 Å, b = 4.030 Å, c = 5.320 Å
α = 90.00°, β = 90.00°, γ = 90.00°
Atoms (fractional coordinates):
La (0.000, 0.000, 0.500)
Li (0.500, 0.000, 0.000)
Li (0.000, 0.500, 0.000)
Cu (0.500, 0.500, 0.500)

***

RePdCl2: optimized geometry, PBEsol.

Values from the calculation:
- Formation energy (no corrections): 341 meV per atom

a = 2.933 Å, b = 2.933 Å, c = 8.811 Å
α = 80.42°, β = 80.42°, γ = 60.00°
Atoms (fractional coordinates):
Cl (0.086, 0.086, 0.742)
Pd (0.500, 0.500, 0.500)
Re (0.000, 0.000, 0.000)
Cl (0.914, 0.914, 0.258)

***

Total magnetic moment (computed, μB per atom): 0.09, 0.00, 0.00, 0.00, 0.00, 0.00